Entry 1:
Er4Tl5Ir2 | PBE | optimized geometry

POSCAR file:
```
Er4Tl5Ir2
1.0
-1.605 -3.229 0.061
0.471 -0.383 -7.897
8.654 -4.273 1.477
Tl Er Ir
5 4 2
Cartesian
3.151 -1.637 -3.750
0.236 -0.192 -3.949
7.876 -4.016 -5.417
1.249 -0.640 -1.004
5.975 -3.020 -2.671
6.544 -5.271 -0.234
4.452 -4.329 -5.438
0.976 -2.615 -6.125
3.069 -3.556 -0.922
5.555 -2.755 0.312
3.571 -1.902 -6.733
```

Output
- total DFT energy (no corrections) (eV/cell) = -52.90
- space-group type = No. 10
- total moment (μB/cell) = 0.00


Entry 2:
CuSiPt | PBE | optimized geometry

POSCAR file:
```
CuSiPt
1.0
3.941 0.000 0.000
0.000 7.068 0.000
0.000 0.000 6.299
Si Pt Cu
4 4 4
Cartesian
0.985 1.184 4.951
2.956 5.884 1.348
0.985 2.350 1.802
2.956 4.718 4.497
0.985 3.411 4.143
2.956 6.945 5.305
2.956 3.657 2.156
0.985 0.123 0.994
2.956 0.891 2.782
0.985 6.177 3.517
2.956 2.643 5.931
0.985 4.425 0.368
```

Output
- formation energy without anion corrections (eV per atom) = -0.39
- total DFT energy (no corrections) (eV/cell) = -66.89
- space-group type = No. 62
- total moment (μB/cell) = 0.00


The highest total DFT energy (no corrections) belongs to which entry?
Er4Tl5Ir2